# Li2ZrTc | the Alexandria database | GGA-PBE | optimized geometry
# ΔE to the lowest computed polymorph   0.17 eV per formula unit
# Crystal system   tetragonal
# Formation energy   0.185 eV/atom
# Magnetic moment   0.00 μB/f.u.
# VASP energy   -22.00 eV per cell
data_Li2ZrTc
_chemical_formula_sum 'Li2 Zr1 Tc1'
_symmetry_space_group_name_H-M 'P 1'
_symmetry_Int_Tables_number 1
_symmetry_space_group_name_Hall 'P 1'
_cell_length_a 5.4878
_cell_length_b 5.4878
_cell_length_c 5.4878
_cell_angle_alpha 139.99
_cell_angle_beta 139.99
_cell_angle_gamma 57.87
loop_
_atom_site_label
_atom_site_fract_x
_atom_site_fract_y
_atom_site_fract_z
_atom_site_occupancy
Li1 0.2500 0.7500 0.5000 1
Li2 0.7500 0.2500 0.5000 1
Zr1 0.0000 0.0000 0.0000 1
Tc1 0.5000 0.5000 0.0000 1